# 1
Here is a relaxed CrTe2Br crystal from Alexandria. Energies are from GGA-PBEsol.

```
CrTe2Br
1.0
-1.687 2.561 5.687
1.687 -2.561 5.687
1.687 2.561 -5.687
Cr Te Br
1 2 1
Direct
0.000 0.000 0.000 Cr
0.187 0.687 0.500 Te
0.813 0.313 0.500 Te
0.500 0.500 0.000 Br
```

Values from the calculation:
**Raw formation energy**: 0.157 eV per atom
**Excess energy over the best structure of this formula in the dataset**: 24.4 kJ per mole of atoms

---

# 2
Here is a relaxed CrTe2Br crystal from Alexandria. Energies are from GGA-PBEsol.

```
CrTe2Br
1.0
2.879 -5.120 0.000
2.879 5.120 0.000
0.000 0.000 3.358
Cr Te Br
1 2 1
Direct
0.000 0.000 0.000 Cr
0.000 0.500 0.500 Te
0.500 0.000 0.500 Te
0.500 0.500 0.000 Br
```

Values from the calculation:
**Raw formation energy**: 0.458 eV per atom
**Excess energy over the best structure of this formula in the dataset**: 53.4 kJ per mole of atoms

---

# 3
Here is a relaxed CrTe2Br crystal from Alexandria. Energies are from GGA-PBEsol.

```
CrTe2Br
1.0
1.865 1.077 7.995
-1.865 1.077 7.995
0.000 -2.154 7.995
Cr Te Br
1 2 1
Direct
0.000 0.000 0.000 Cr
0.270 0.270 0.270 Te
0.730 0.730 0.730 Te
0.500 0.500 0.500 Br
```

Values from the calculation:
**Raw formation energy**: -0.095 eV per atom
**Excess energy over the best structure of this formula in the dataset**: 0.0 kJ per mole of atoms

---

# 4
Here is a relaxed CrTe2Br crystal from Alexandria. Energies are from GGA-PBEsol.

```
CrTe2Br
1.0
5.393 0.000 0.000
0.000 5.393 0.000
0.000 0.000 3.238
Cr Te Br
1 2 1
Direct
0.000 0.000 0.000 Cr
0.000 0.500 0.500 Te
0.500 0.000 0.500 Te
0.500 0.500 0.000 Br
```

Values from the calculation:
**Raw formation energy**: 0.458 eV per atom
**Excess energy over the best structure of this formula in the dataset**: 53.4 kJ per mole of atoms

---

# 5
Here is a relaxed CrTe2Br crystal from Alexandria. Energies are from GGA-PBEsol.

```
CrTe2Br
1.0
3.092 -4.140 0.000
3.092 4.140 0.000
-3.064 0.000 4.139
Cr Te Br
1 2 1
Direct
0.000 0.000 0.000 Cr
0.000 0.500 0.500 Te
0.500 0.000 0.500 Te
0.500 0.500 0.000 Br
```

Values from the calculation:
**Raw formation energy**: 0.268 eV per atom
**Excess energy over the best structure of this formula in the dataset**: 35.1 kJ per mole of atoms

---

# 6
Here is a relaxed CrTe2Br crystal from Alexandria. Energies are from GGA-PBEsol.

```
CrTe2Br
1.0
-3.446 3.446 5.421
3.446 -3.446 5.421
3.446 3.446 -5.421
Cr Te Br
2 4 2
Direct
0.000 0.000 0.000 Cr
0.750 0.250 0.500 Cr
0.038 0.125 0.413 Te
0.375 0.962 0.087 Te
0.712 0.625 0.587 Te
0.875 0.288 0.913 Te
0.250 0.750 0.500 Br
0.500 0.500 0.000 Br
```

Values from the calculation:
**Raw formation energy**: 0.235 eV per atom
**Excess energy over the best structure of this formula in the dataset**: 31.8 kJ per mole of atoms

---

# 7
Here is a relaxed Tl2CrBr crystal from Alexandria. Energies are from GGA-PBEsol.

```
Tl2CrBr
1.0
-1.627 2.160 7.213
1.627 -2.160 7.213
1.627 2.160 -7.213
Tl Cr Br
2 1 1
Direct
0.182 0.182 0.000 Tl
0.818 0.818 0.000 Tl
0.000 0.500 0.500 Cr
0.500 0.000 0.500 Br
```

Values from the calculation:
**Raw formation energy**: 0.211 eV per atom

---

# 8
Here is a relaxed TlZnCrBr2 crystal from Alexandria. Energies are from GGA-PBEsol.

```
TlZnCrBr2
1.0
4.988 0.000 0.000
0.000 4.988 0.000
0.000 0.000 5.599
Tl Zn Cr Br
1 1 1 2
Direct
0.000 0.000 0.000 Tl
0.500 0.500 0.000 Zn
0.000 0.000 0.500 Cr
0.000 0.500 0.500 Br
0.500 0.000 0.500 Br
```

Values from the calculation:
**Raw formation energy**: 0.072 eV per atom

---

# 9
Here is a relaxed CrW2Br crystal from Alexandria. Energies are from GGA-PBEsol.

```
CrW2Br
1.0
1.558 -2.407 0.000
1.558 2.407 0.000
0.000 0.000 8.660
Cr W Br
1 2 1
Direct
0.000 0.000 0.000 Cr
0.000 0.000 0.531 W
0.500 0.500 0.771 W
0.500 0.500 0.234 Br
```

Values from the calculation:
**Raw formation energy**: 0.708 eV per atom
**Excess energy over the best structure of this formula in the dataset**: 5.1 kJ per mole of atoms

---

# 10
Here is a relaxed CrW2Br crystal from Alexandria. Energies are from GGA-PBEsol.

```
CrW2Br
1.0
1.484 0.857 8.229
-1.484 0.857 8.229
0.000 -1.713 8.229
Cr W Br
1 2 1
Direct
0.000 0.000 0.000 Cr
0.494 0.494 0.494 W
0.738 0.738 0.738 W
0.249 0.249 0.249 Br
```

Values from the calculation:
**Raw formation energy**: 0.655 eV per atom
**Excess energy over the best structure of this formula in the dataset**: 0.0 kJ per mole of atoms

---

# 11
Here is a relaxed Cr2WBr crystal from Alexandria. Energies are from GGA-PBEsol.

```
Cr2WBr
1.0
1.442 0.833 8.010
-1.442 0.833 8.010
0.000 -1.665 8.010
Cr W Br
2 1 1
Direct
0.000 0.000 0.000 Cr
0.268 0.268 0.268 Cr
0.756 0.756 0.756 W
0.513 0.513 0.513 Br
```

Values from the calculation:
**Raw formation energy**: 0.681 eV per atom

---

# 12
Here is a relaxed CrW2Br crystal from Alexandria. Energies are from GGA-PBEsol.

```
CrW2Br
1.0
3.702 0.000 0.000
0.000 3.702 0.000
0.000 0.000 4.662
Cr W Br
1 2 1
Direct
0.000 0.000 0.000 Cr
0.000 0.500 0.500 W
0.500 0.000 0.500 W
0.500 0.500 0.000 Br
```

Values from the calculation:
**Raw formation energy**: 1.209 eV per atom
**Excess energy over the best structure of this formula in the dataset**: 53.4 kJ per mole of atoms

---

# 13
Here is a relaxed CrWBr crystal from Alexandria. Energies are from GGA-PBEsol.

```
CrWBr
1.0
0.000 2.964 2.964
2.964 0.000 2.964
2.964 2.964 0.000
Cr W Br
1 1 1
Direct
0.000 0.000 0.000 Cr
0.250 0.250 0.250 W
0.500 0.500 0.500 Br
```

Values from the calculation:
**Raw formation energy**: 1.405 eV per atom

---

# 14
Here is a relaxed Zr2CrWBr crystal from Alexandria. Energies are from GGA-PBEsol.

```
Zr2CrWBr
1.0
4.869 0.000 0.000
0.000 4.869 0.000
0.000 0.000 4.577
Zr Cr W Br
2 1 1 1
Direct
0.000 0.500 0.000 Zr
0.500 0.000 0.000 Zr
0.000 0.000 0.500 Cr
0.500 0.500 0.500 W
0.500 0.500 0.000 Br
```

Values from the calculation:
**Raw formation energy**: 1.239 eV per atom

---

# 15
Here is a relaxed ZnCrBr4 crystal from Alexandria. Energies are from GGA-PBEsol.

```
ZnCrBr4
1.0
0.000 4.310 4.310
4.310 0.000 4.310
4.310 4.310 0.000
Zn Cr Br
1 1 4
Direct
0.000 0.000 0.000 Zn
0.750 0.750 0.750 Cr
0.375 0.375 0.375 Br
0.375 0.375 0.875 Br
0.375 0.875 0.375 Br
0.875 0.375 0.375 Br
```

Values from the calculation:
**Raw formation energy**: 0.808 eV per atom

---

Here are the calculated raw total energy numbers, same order: -4.63 -4.33 -4.89 -4.33 -4.52 -4.56 -4.13 -3.57 -9.22 -9.28 -8.36 -8.72 -7.23 -7.58 -2.41 (eV/atom).